Entry 1:
The following is a GGA-PBE calculation of a relaxed structure of NiPt3, from Alexandria via LeMat-Bulk.

DOS at the Fermi energy ... 17.96 states/eV/cell
Crystal system ... cubic
Energy of formation ... 252 meV/atom

Cell: 4.9638 4.9638 4.9638 Å, 90.00 90.00 90.00°
Fractional positions:
Ni 0.0000 0.0000 0.0000
Ni 0.5000 0.5000 0.5000
Pt 0.0000 0.2500 0.5000
Pt 0.0000 0.7500 0.5000
Pt 0.2500 0.5000 0.0000
Pt 0.5000 0.0000 0.2500
Pt 0.5000 0.0000 0.7500
Pt 0.7500 0.5000 0.0000

Entry 2:
The following is a GGA-PBE calculation of a relaxed structure of NiPt, from Alexandria via LeMat-Bulk.

DOS at the Fermi energy ... 17.75 states/eV/cell
Crystal system ... monoclinic
Energy of formation ... -77 meV/atom

Cell: 6.5304 2.7096 9.1457 Å, 90.00 91.21 90.00°
Fractional positions:
Ni 0.0000 0.0000 0.0000
Ni 0.0000 0.0000 0.5000
Ni 0.3289 0.5000 0.0873
Ni 0.3373 0.0000 0.3282
Ni 0.6627 0.0000 0.6718
Ni 0.6711 0.5000 0.9127
Pt 0.0143 0.5000 0.2493
Pt 0.3288 0.5000 0.5779
Pt 0.3406 0.0000 0.8463
Pt 0.6594 0.0000 0.1537
Pt 0.6712 0.5000 0.4221
Pt 0.9857 0.5000 0.7507

Entry 3:
The following is a GGA-PBE calculation of a relaxed structure of Ni3Pt, from Alexandria via LeMat-Bulk.

DOS at the Fermi energy ... 6.07 states/eV/cell
Crystal system ... orthorhombic
Energy of formation ... -46 meV/atom

Cell: 2.6326 3.5804 5.1974 Å, 90.00 90.00 90.00°
Fractional positions:
Ni 0.0000 0.0000 0.0000
Ni 0.5000 0.5000 0.2360
Ni 0.5000 0.5000 0.7640
Pt 0.0000 0.0000 0.5000

Entry 4:
The following is a GGA-PBE calculation of a relaxed structure of Ni5Pt3, from Alexandria via LeMat-Bulk.

Energy relative to the lowest polymorph listed for this composition ... 80 meV per atom
DOS at the Fermi energy ... 15.11 states/eV/cell
Crystal system ... tetragonal
Energy of formation ... 7 meV/atom

Cell: 2.6952 2.6952 14.1550 Å, 90.00 90.00 90.00°
Fractional positions:
Ni 0.0000 0.0000 0.0000
Ni 0.0000 0.0000 0.2215
Ni 0.0000 0.0000 0.7785
Ni 0.5000 0.5000 0.1108
Ni 0.5000 0.5000 0.8892
Pt 0.0000 0.0000 0.5000
Pt 0.5000 0.5000 0.3500
Pt 0.5000 0.5000 0.6500

Entry 5:
The following is a GGA-PBE calculation of a relaxed structure of NiPt3, from Alexandria via LeMat-Bulk.

DOS at the Fermi energy ... 7.44 states/eV/cell
Crystal system ... orthorhombic
Energy of formation ... -4 meV/atom

Cell: 2.7383 4.5665 4.7350 Å, 90.00 90.00 90.00°
Fractional positions:
Ni 0.0000 0.0000 0.0000
Pt 0.0000 0.5000 0.3262
Pt 0.5000 0.0000 0.5000
Pt 0.5000 0.5000 0.8336

Entry 6:
The following is a GGA-PBE calculation of a relaxed structure of NiPt3, from Alexandria via LeMat-Bulk.

DOS at the Fermi energy ... 7.27 states/eV/cell
Crystal system ... cubic
Energy of formation ... -74 meV/atom

Cell: 3.8834 3.8834 3.8834 Å, 90.00 90.00 90.00°
Fractional positions:
Ni 0.0000 0.0000 0.0000
Pt 0.0000 0.5000 0.5000
Pt 0.5000 0.0000 0.5000
Pt 0.5000 0.5000 0.0000